# 1
Computed, not measured: an optimized crystal structure of Tb2Pm8Y at the GGA-PBE level of DFT.

Summary:
M_tot in μB per formula unit: 0.00
SG: C2/m (12)
Calculated density in Mg/m³: 6.881
Formation energy in meV/atom: 163

Cell lengths 6.724, 10.368, 10.368 Å; angles 38.27, 59.62, 59.62 degrees
Atoms (fractional coordinates):
Tb: 0.592 0.801 0.801
Tb: 0.408 0.199 0.199
Pm: 0.231 0.350 0.826
Pm: 0.769 0.174 0.650
Pm: 0.172 0.756 0.756
Pm: 0.828 0.244 0.244
Pm: 0.231 0.826 0.350
Pm: 0.769 0.650 0.174
Pm: 0.728 0.592 0.592
Pm: 0.272 0.408 0.408
Y: 0.000 0.000 0.000



# 2
Computed, not measured: an optimized crystal structure of Tb6PmY6 at the GGA-PBE level of DFT.

Summary:
M_tot in μB per formula unit: 3.76
SG: P6/mmm (191)
Calculated density in Mg/m³: 6.089
Formation energy in meV/atom: 293

Cell lengths 6.712, 6.712, 11.404 Å; angles 90.00, 90.00, 119.98 degrees
Site moments in Bohr magnetons follow the coordinates.
Atoms (fractional coordinates):
Tb: 0.000 0.000 0.652  0.25
Tb: 0.000 0.000 0.348  0.25
Tb: 0.333 0.667 0.000  0.01
Tb: 0.667 0.333 0.000  0.01
Tb: 0.333 0.667 0.500  0.38
Tb: 0.667 0.333 0.500  0.38
Pm: 0.000 0.000 0.000  0.09
Y: 0.000 0.500 0.756  0.13
Y: 0.500 0.000 0.756  0.13
Y: 0.500 0.500 0.755  0.13
Y: 0.500 0.000 0.244  0.13
Y: 0.000 0.500 0.244  0.13
Y: 0.500 0.500 0.245  0.13



# 3
Computed, not measured: an optimized crystal structure of Tb3Pm2Y2 at the GGA-PBE level of DFT.

Summary:
M_tot in μB per formula unit: 0.00
SG: C2/m (12)
Calculated density in Mg/m³: 6.732
Formation energy in meV/atom: 113

Cell lengths 3.529, 8.581, 8.981 Å; angles 118.47, 101.33, 90.00 degrees
Atoms (fractional coordinates):
Tb: 0.000 0.500 0.000
Tb: 0.212 0.800 0.423
Tb: 0.788 0.200 0.577
Pm: 0.567 0.911 0.133
Pm: 0.433 0.089 0.867
Y: 0.851 0.668 0.703
Y: 0.149 0.332 0.297



# 4
Computed, not measured: an optimized crystal structure of Tb3Pm2Y3 at the GGA-PBE level of DFT.

Summary:
M_tot in μB per formula unit: 0.00
SG: Immm (71)
Calculated density in Mg/m³: 6.570
Formation energy in meV/atom: 20

Cell lengths 5.080, 5.078, 10.743 Å; angles 103.67, 103.68, 90.00 degrees
Atoms (fractional coordinates):
Tb: 0.124 0.124 0.248
Tb: 0.000 0.500 0.000
Tb: 0.876 0.876 0.752
Pm: 0.750 0.250 0.500
Pm: 0.250 0.750 0.500
Y: 0.624 0.624 0.248
Y: 0.376 0.376 0.752
Y: 0.500 0.000 0.000



# 5
Computed, not measured: an optimized crystal structure of Tb6Pm4Y at the GGA-PBE level of DFT.

Summary:
M_tot in μB per formula unit: 0.00
SG: I-42m (121)
Calculated density in Mg/m³: 6.925
Formation energy in meV/atom: 423

Cell lengths 7.682, 7.682, 8.543 Å; angles 116.72, 116.72, 90.00 degrees
Atoms (fractional coordinates):
Tb: 0.926 0.446 0.372
Tb: 0.446 0.926 0.372
Tb: 0.554 0.554 0.628
Tb: 0.000 0.500 0.000
Tb: 0.074 0.074 0.628
Tb: 0.500 0.000 0.000
Pm: 0.097 0.751 0.847
Pm: 0.903 0.903 0.153
Pm: 0.751 0.097 0.847
Pm: 0.249 0.249 0.153
Y: 0.500 0.500 0.000



# 6
Computed, not measured: an optimized crystal structure of Tb6Pm2Y3 at the GGA-PBE level of DFT.

Summary:
M_tot in μB per formula unit: 0.00
SG: I4/mmm (139)
Calculated density in Mg/m³: 6.653
Formation energy in meV/atom: 266

Cell lengths 4.763, 4.763, 16.952 Å; angles 98.08, 98.08, 90.00 degrees
Atoms (fractional coordinates):
Tb: 0.121 0.621 0.242
Tb: 0.621 0.121 0.242
Tb: 0.879 0.379 0.758
Tb: 0.379 0.879 0.758
Tb: 0.694 0.694 0.388
Tb: 0.306 0.306 0.612
Pm: 0.454 0.454 0.908
Pm: 0.546 0.546 0.092
Y: 0.000 0.000 0.000
Y: 0.798 0.798 0.595
Y: 0.202 0.202 0.405